K2V3F10 (GGA+U, optimized geometry); SG = C2/m (12); energy = -5.738 eV per atom
1.0
9.539 -3.146 0.000
9.539 3.146 0.000
-3.064 0.000 7.377
K V F
4 6 20
direct
0.110 0.110 0.219 K
0.209 0.209 0.830 K
0.791 0.791 0.170 K
0.890 0.890 0.781 K
0.248 0.752 0.500 V
0.317 0.317 0.480 V
0.421 0.421 0.028 V
0.579 0.579 0.972 V
0.683 0.683 0.520 V
0.752 0.248 0.500 V
0.000 0.500 0.500 F
0.017 0.017 0.683 F
0.129 0.587 0.027 F
0.150 0.621 0.474 F
0.264 0.264 0.227 F
0.301 0.699 0.000 F
0.366 0.366 0.751 F
0.379 0.850 0.526 F
0.413 0.871 0.973 F
0.476 0.476 0.304 F
0.500 0.000 0.500 F
0.524 0.524 0.696 F
0.587 0.129 0.027 F
0.621 0.150 0.474 F
0.634 0.634 0.249 F
0.699 0.301 0.000 F
0.736 0.736 0.773 F
0.850 0.379 0.526 F
0.871 0.413 0.973 F
0.983 0.983 0.317 F